ZrWSCl2 | PBE-GGA | relaxed

The structure in extended XYZ format:
```
5
Lattice="-3.106 -3.014 2.504 1.658 -3.906 -2.645 3.608 -0.826 3.481" Properties=species:S:1:pos:R:3 pbc="T T T"
S 1.804 -0.413 1.741
Zr 0.000 0.000 0.000
W 1.080 -3.873 1.670
Cl 0.829 -1.953 -1.322
Cl -1.553 -1.507 1.252
```

* relative energy among the computed polymorphs: 0.00 eV/f.u.
* crystal system: tetragonal
* E_form (uncorrected): 327 meV/atom